Record 1
# Dy5Ho3Th3 (GGA-PBE, relaxed)
# Total energy   -4.434 eV per atom
# Calculated volume   449 Å³ per cell
data_Dy5Ho3Th3
_cell_length_a 9.7746
_cell_length_b 9.7746
_cell_length_c 5.4263
_cell_angle_alpha 90.00
_cell_angle_beta 90.00
_cell_angle_gamma 120.00
_space_group_name_H-M_alt 'P -6 2 m'
_space_group_IT_number 189
_space_group_name_Hall 'P -6 -2'
loop_
_atom_site_label
_atom_site_type_symbol
_atom_site_fract_x
_atom_site_fract_y
_atom_site_fract_z
_atom_site_occupancy
Dy1 Dy 0.0000 0.7332 0.0000 1
Dy2 Dy 0.3333 0.6667 0.0000 1
Ho1 Ho 0.0000 0.5496 0.5000 1
Th1 Th 0.0000 0.3679 0.0000 1

---

Record 2
# Ba2LiCdPt (GGA-PBE, relaxed)
# Total energy   -2.923 eV per atom
# Calculated volume   186 Å³ per cell
data_Ba2LiCdPt
_cell_length_a 6.147
_cell_length_b 6.147
_cell_length_c 4.935
_cell_angle_alpha 90.00
_cell_angle_beta 90.00
_cell_angle_gamma 90.00
_space_group_name_H-M_alt 'P 4/m m m'
_space_group_IT_number 123
_space_group_name_Hall '-P 4 2'
loop_
_atom_site_label
_atom_site_type_symbol
_atom_site_fract_x
_atom_site_fract_y
_atom_site_fract_z
_atom_site_occupancy
Ba1 Ba 0.000 0.500 0.000 1
Li1 Li 0.000 0.000 0.500 1
Cd1 Cd 0.500 0.500 0.500 1
Pt1 Pt 0.000 0.000 0.000 1

---

Record 3
# SmPd3Au2 (GGA-PBE, relaxed)
# Total energy   -5.014 eV per atom
# Calculated volume   654 Å³ per cell
data_SmPd3Au2
_cell_length_a 5.8790
_cell_length_b 5.8790
_cell_length_c 21.8543
_cell_angle_alpha 90.00
_cell_angle_beta 90.00
_cell_angle_gamma 120.00
_space_group_name_H-M_alt 'R -3 m'
_space_group_IT_number 166
_space_group_name_Hall '-R 3 2"'
loop_
_atom_site_label
_atom_site_type_symbol
_atom_site_fract_x
_atom_site_fract_y
_atom_site_fract_z
_atom_site_occupancy
Sm1 Sm 0.0000 0.0000 0.2144 1
Pd1 Pd 0.0102 0.5051 0.2239 1
Au1 Au 0.0000 0.0000 0.0000 1
Au2 Au 0.0000 0.5000 0.0000 1

---

Record 4
# ZrTa2Ru (GGA-PBE, relaxed)
# Total energy   -10.547 eV per atom
# Calculated volume   73 Å³ per cell
data_ZrTa2Ru
_cell_length_a 3.193
_cell_length_b 3.193
_cell_length_c 7.121
_cell_angle_alpha 90.00
_cell_angle_beta 90.00
_cell_angle_gamma 90.00
_space_group_name_H-M_alt 'P 4/m m m'
_space_group_IT_number 123
_space_group_name_Hall '-P 4 2'
loop_
_atom_site_label
_atom_site_type_symbol
_atom_site_fract_x
_atom_site_fract_y
_atom_site_fract_z
_atom_site_occupancy
Zr1 Zr 0.000 0.000 0.000 1
Ta1 Ta 0.500 0.500 0.277 1
Ru1 Ru 0.000 0.000 0.500 1

---

Record 5
# Ac2Pr2Ge (GGA-PBE, relaxed)
# Total energy   -4.303 eV per atom
# Calculated volume   382 Å³ per cell
data_Ac2Pr2Ge
_cell_length_a 4.339
_cell_length_b 4.339
_cell_length_c 20.269
_cell_angle_alpha 90.00
_cell_angle_beta 90.00
_cell_angle_gamma 90.00
_space_group_name_H-M_alt 'I 4/m m m'
_space_group_IT_number 139
_space_group_name_Hall '-I 4 2'
loop_
_atom_site_label
_atom_site_type_symbol
_atom_site_fract_x
_atom_site_fract_y
_atom_site_fract_z
_atom_site_occupancy
Ac1 Ac 0.000 0.000 0.082 1
Pr1 Pr 0.000 0.500 0.250 1
Ge1 Ge 0.000 0.000 0.500 1

---

Record 6
# As2Pb4Cl3 (GGA-PBE, relaxed)
# Calculated volume   559 Å³ per cell
# Formation energy from raw total energies   -0.527 eV/atom
data_As2Pb4Cl3
_cell_length_a 7.493
_cell_length_b 4.325
_cell_length_c 17.251
_cell_angle_alpha 90.00
_cell_angle_beta 90.07
_cell_angle_gamma 90.00
_space_group_name_H-M_alt 'C 1 2/m 1'
_space_group_IT_number 12
_space_group_name_Hall '-C 2y'
loop_
_atom_site_label
_atom_site_type_symbol
_atom_site_fract_x
_atom_site_fract_y
_atom_site_fract_z
_atom_site_occupancy
As1 As 0.168 0.000 0.209 1
Pb1 Pb 0.001 0.500 0.316 1
Pb2 Pb 0.166 0.000 0.878 1
Cl1 Cl 0.000 0.500 0.000 1
Cl2 Cl 0.165 0.000 0.594 1

---

Record 7
# ScInMo2 (GGA-PBE, relaxed)
# Total energy   -7.362 eV per atom
# Calculated volume   74 Å³ per cell
data_ScInMo2
_cell_length_a 2.831
_cell_length_b 2.831
_cell_length_c 9.224
_cell_angle_alpha 90.00
_cell_angle_beta 90.00
_cell_angle_gamma 90.00
_space_group_name_H-M_alt 'P 4/m m m'
_space_group_IT_number 123
_space_group_name_Hall '-P 4 2'
loop_
_atom_site_label
_atom_site_type_symbol
_atom_site_fract_x
_atom_site_fract_y
_atom_site_fract_z
_atom_site_occupancy
Sc1 Sc 0.000 0.000 0.000 1
In1 In 0.000 0.000 0.500 1
Mo1 Mo 0.500 0.500 0.255 1

---

Record 8
# Ba3U6O20 (GGA-PBE, relaxed)
# Calculated volume   1536 Å³ per cell
# Formation energy from raw total energies   -2.888 eV/atom
data_Ba3U6O20
_cell_length_a 11.537
_cell_length_b 11.537
_cell_length_c 11.537
_cell_angle_alpha 90.00
_cell_angle_beta 90.00
_cell_angle_gamma 90.00
_space_group_name_H-M_alt 'F m -3 m'
_space_group_IT_number 225
_space_group_name_Hall '-F 4 2 3'
loop_
_atom_site_label
_atom_site_type_symbol
_atom_site_fract_x
_atom_site_fract_y
_atom_site_fract_z
_atom_site_occupancy
Ba1 Ba 0.000 0.000 0.000 1
Ba2 Ba 0.250 0.250 0.250 1
U1 U 0.000 0.000 0.268 1
O1 O 0.000 0.163 0.163 1
O2 O 0.111 0.111 0.389 1

---

Record 9
# Pu3Ge2Pt6 (GGA-PBE, relaxed)
# Total energy   -8.702 eV per atom
# Calculated volume   854 Å³ per cell
data_Pu3Ge2Pt6
_cell_length_a 9.488
_cell_length_b 9.488
_cell_length_c 9.488
_cell_angle_alpha 90.00
_cell_angle_beta 90.00
_cell_angle_gamma 90.00
_space_group_name_H-M_alt 'I m -3 m'
_space_group_IT_number 229
_space_group_name_Hall '-I 4 2 3'
loop_
_atom_site_label
_atom_site_type_symbol
_atom_site_fract_x
_atom_site_fract_y
_atom_site_fract_z
_atom_site_occupancy
Pu1 Pu 0.000 0.000 0.279 1
Ge1 Ge 0.250 0.250 0.250 1
Pt1 Pt 0.000 0.332 0.332 1

---

Record 10
# TaGeIr2W (GGA-PBE, relaxed)
# Total energy   -8.118 eV per atom
# Calculated volume   93 Å³ per cell
data_TaGeIr2W
_cell_length_a 4.441
_cell_length_b 4.441
_cell_length_c 4.704
_cell_angle_alpha 90.00
_cell_angle_beta 90.00
_cell_angle_gamma 90.00
_space_group_name_H-M_alt 'P 4/m m m'
_space_group_IT_number 123
_space_group_name_Hall '-P 4 2'
loop_
_atom_site_label
_atom_site_type_symbol
_atom_site_fract_x
_atom_site_fract_y
_atom_site_fract_z
_atom_site_occupancy
Ta1 Ta 0.000 0.000 0.000 1
Ge1 Ge 0.000 0.000 0.500 1
Ir1 Ir 0.000 0.500 0.500 1
W1 W 0.500 0.500 0.000 1

---

Record 11
# Sm6Si3Ni2 (GGA-PBE, relaxed)
# Calculated volume   522 Å³ per cell
# Formation energy from raw total energies   -0.510 eV/atom
data_Sm6Si3Ni2
_cell_length_a 11.531
_cell_length_b 4.452
_cell_length_c 11.611
_cell_angle_alpha 90.00
_cell_angle_beta 118.78
_cell_angle_gamma 90.00
_space_group_name_H-M_alt 'P 1 m 1'
_space_group_IT_number 6
_space_group_name_Hall 'P -2y'
loop_
_atom_site_label
_atom_site_type_symbol
_atom_site_fract_x
_atom_site_fract_y
_atom_site_fract_z
_atom_site_occupancy
Sm1 Sm 0.000 0.000 0.000 1
Sm2 Sm 0.009 0.500 0.240 1
Sm3 Sm 0.109 0.500 0.606 1
Sm4 Sm 0.222 0.500 0.981 1
Sm5 Sm 0.254 0.000 0.460 1
Sm6 Sm 0.379 0.000 0.843 1
Sm7 Sm 0.463 0.000 0.205 1
Sm8 Sm 0.488 0.500 0.447 1
Sm9 Sm 0.621 0.000 0.731 1
Sm10 Sm 0.722 0.000 0.079 1
Sm11 Sm 0.762 0.500 0.357 1
Sm12 Sm 0.862 0.500 0.702 1
Si1 Si 0.085 0.000 0.783 1
Si2 Si 0.395 0.500 0.659 1
Si3 Si 0.519 0.500 0.062 1
Si4 Si 0.573 0.500 0.884 1
Si5 Si 0.802 0.500 0.933 1
Si6 Si 0.906 0.000 0.546 1
Ni1 Ni 0.240 0.252 0.224 1
Ni2 Ni 0.676 0.000 0.489 1
Ni3 Ni 0.949 0.000 0.365 1

---

Record 12
# Pm5HoPb6 (GGA-PBE, relaxed)
# Total energy   -4.697 eV per atom
# Calculated volume   742 Å³ per cell
data_Pm5HoPb6
_cell_length_a 5.928
_cell_length_b 14.594
_cell_length_c 8.768
_cell_angle_alpha 90.00
_cell_angle_beta 101.95
_cell_angle_gamma 90.00
_space_group_name_H-M_alt 'C 1 2/m 1'
_space_group_IT_number 12
_space_group_name_Hall '-C 2y'
loop_
_atom_site_label
_atom_site_type_symbol
_atom_site_fract_x
_atom_site_fract_y
_atom_site_fract_z
_atom_site_occupancy
Pm1 Pm 0.000 0.000 0.000 1
Pm2 Pm 0.000 0.330 0.000 1
Pm3 Pm 0.000 0.337 0.500 1
Ho1 Ho 0.000 0.000 0.500 1
Pb1 Pb 0.002 0.165 0.745 1
Pb2 Pb 0.018 0.500 0.247 1